one:
Density functional theory data (PBE) for a relaxed structure of NaIrOs.

Lattice parameters (Å, degrees): 5.5259 5.5257 4.2404 67.48 112.53 93.94
With the nearest neighbours (Å) after each atom.
Element x y z (fractional)
Os  0.2336  0.7733  0.6454  1 Os 2.37, 3 Ir 2.49-2.52
Os  0.9200  0.4595  0.6455  1 Os 2.37, 3 Ir 2.49-2.52
Na  0.6351  0.0578  0.2042  2 Na 2.95, 6 Ir 3.02-3.03, 2 Os 3.26
Ir  0.0559  0.9726  0.9574  3 Os 2.49-2.52, 1 Ir 2.53
Na  0.3368  0.3568  0.4054  2 Na 2.95, 6 Os 3.01-3.07, 3 Ir 3.30
Ir  0.7205  0.6371  0.9575  3 Os 2.49-2.52, 1 Ir 2.53

Computed properties:
The density of states at the Fermi level is 0.56 states/eV per atom. As for the space group: Imm2. Its magnetic moment is 0.00 μB/f.u. The crystal system is orthorhombic.

=====

two:
Density functional theory data (PBE) for a relaxed structure of NaIrOs.

Lattice parameters (Å, degrees): 2.7658 2.7658 7.0647 78.71 78.71 90.00
With the nearest neighbours (Å) after each atom.
Element x y z (fractional)
Os  0.1029  0.1029  0.7943  4 Ir 2.59, 4 Os 2.77
Na  0.7941  0.7941  0.4118  4 Na 2.77
Ir  0.4779  0.4779  0.0441  4 Os 2.59, 4 Ir 2.77

Computed properties:
The density of states at the Fermi level is 1.10 states/eV per atom. As for the space group: I4mm. Its magnetic moment is 0.00 μB/f.u. The crystal system is tetragonal.

=====

It comes down to one, which is 121 meV/atom more stable than the next structure.

=====

one:
Density functional theory data (PBE) for a relaxed structure of NaIrOs.

Lattice parameters (Å, degrees): 5.5336 4.6564 4.6199 77.41 112.00 111.94
With the nearest neighbours (Å) after each atom.
Element x y z (fractional)
Ir  0.9776  0.6437  0.0195  3 Os 2.50-2.68, 2 Ir 2.57-2.69
Na  0.6329  0.8432  0.2150  1 Na 2.31
Na  0.7938  0.1903  0.5877  1 Na 2.31
Os  0.4341  0.3969  0.7619  1 Os 2.44, 3 Ir 2.49-2.67
Ir  0.2213  0.2308  0.1851  3 Os 2.49-2.64, 2 Ir 2.57-2.69
Os  0.2100  0.7935  0.6123  1 Os 2.44, 3 Ir 2.50-2.68

Computed properties:
The density of states at the Fermi level is 0.81 states/eV per atom. As for the space group: P1. Its magnetic moment is 0.00 μB/f.u. The crystal system is triclinic.

=====

two:
Density functional theory data (PBE) for a relaxed structure of NaIrOs.

Lattice parameters (Å, degrees): 4.1059 4.1059 4.7511 90.00 90.00 120.00
With the nearest neighbours (Å) after each atom.
Element x y z (fractional)
Os  0.0000  0.0000  0.0000  3 Ir 2.37
Na  0.6667  0.3333  0.5000  6 Ir 3.36, 6 Os 3.36
Ir  0.3333  0.6667  0.0000  3 Os 2.37

Computed properties:
The density of states at the Fermi level is 0.59 states/eV per atom. As for the space group: P-6m2. Its magnetic moment is 0.00 μB/f.u. The crystal system is hexagonal.

=====

It comes down to one, which is 397 meV/atom more stable than the next structure.

=====

one:
Density functional theory data (PBE) for a relaxed structure of NaIrOs.

Lattice parameters (Å, degrees): 3.7430 3.7430 8.2652 90.00 90.00 90.00
With the nearest neighbours (Å) after each atom.
Element x y z (fractional)
Ir  0.5000  0.0000  0.2845  4 Os 2.58
Na  0.0000  0.5000  0.1192  4 Ir 2.98, 4 Na 3.30
Os  0.5000  0.5000  0.5000  4 Ir 2.58, 4 Os 2.65
Na  0.5000  0.0000  0.8808  4 Ir 2.98, 4 Na 3.30
Os  0.0000  0.0000  0.5000  4 Ir 2.58, 4 Os 2.65
Ir  0.0000  0.5000  0.7155  4 Os 2.58

Computed properties:
The density of states at the Fermi level is 1.03 states/eV per atom. As for the space group: P4/nmm. Its magnetic moment is 0.00 μB/f.u. The crystal system is tetragonal.

=====

two:
Density functional theory data (PBE) for a relaxed structure of NaIrOs.

Lattice parameters (Å, degrees): 11.1124 5.9049 5.9049 140.89 146.30 33.70
With the nearest neighbours (Å) after each atom.
Element x y z (fractional)
Na  0.0000  0.0000  0.0000  2 Na 2.69
Ir  0.6481  0.6438  0.3562  4 Os 2.55-2.73, 2 Ir 2.57
Na  0.5000  0.5000  0.5000  2 Na 2.69
Os  0.1392  0.1491  0.8509  2 Os 2.50, 4 Ir 2.55-2.73
Ir  0.3519  0.3562  0.6438  4 Os 2.55-2.73, 2 Ir 2.57
Os  0.8608  0.8509  0.1491  2 Os 2.50, 4 Ir 2.55-2.73

Computed properties:
The density of states at the Fermi level is 0.76 states/eV per atom. As for the space group: C2/m. Its magnetic moment is 0.00 μB/f.u. The crystal system is monoclinic.

=====

It comes down to two, which is 298 meV/atom more stable than the next structure.

=====

one:
Density functional theory data (PBE) for a relaxed structure of NaIrOs2.

Lattice parameters (Å, degrees): 4.3857 4.3857 4.3857 60.00 60.00 60.00
With the nearest neighbours (Å) after each atom.
Element x y z (fractional)
Os  0.7500  0.7500  0.7500  4 Ir 2.69, 4 Na 2.69
Na  0.0000  0.0000  0.0000  8 Os 2.69
Ir  0.5000  0.5000  0.5000  8 Os 2.69
Os  0.2500  0.2500  0.2500  4 Ir 2.69, 4 Na 2.69

Computed properties:
The density of states at the Fermi level is 1.34 states/eV per atom. As for the space group: Fm-3m. Its magnetic moment is 1.22 μB/f.u. The crystal system is cubic.

=====

two:
Density functional theory data (PBE) for a relaxed structure of NaIrOs2.

Lattice parameters (Å, degrees): 7.5787 7.5787 5.9165 50.17 50.17 90.00
With the nearest neighbours (Å) after each atom.
Element x y z (fractional)
Ir  0.0000  0.0000  0.0000  4 Os 2.47, 2 Na 2.51
Os  0.3750  0.3162  0.7500  2 Ir 2.47, 2 Os 2.66
Na  0.2500  0.7500  0.5000  2 Ir 2.51
Na  0.5000  0.5000  0.0000  2 Ir 2.51
Os  0.0662  0.6250  0.2500  2 Ir 2.47, 2 Os 2.66
Os  0.6838  0.1250  0.2500  2 Ir 2.47, 2 Os 2.66
Os  0.8750  0.9338  0.7500  2 Ir 2.47, 2 Os 2.66
Ir  0.7500  0.2500  0.5000  4 Os 2.47, 2 Na 2.51

Computed properties:
The density of states at the Fermi level is 1.39 states/eV per atom. As for the space group: I-42d. Its magnetic moment is 0.00 μB/f.u. The crystal system is tetragonal.

=====

It comes down to one, which is 107 meV/atom more stable than the next structure.